Entry 1:
VASP calculation (GGA-PBE) on an optimized crystal structure of Hg12I5Br3.

Values from the calculation:
spin magnetization: 0.00 μB/atom
SG: No. 230
formation energy from raw total energies: -0.3 eV per formula unit

Cell: 16.1590 16.1590 16.1590 Å, 109.47 109.47 109.47°
Last column: nearest neighbours and their distance in Å.
Fractional coordinates of all 80 atoms:
Hg 0.8346 0.2658 0.4234  1 Hg 2.97, 1 Br 3.11, 2 I 3.22-3.31
Hg 0.4112 0.0766 0.3424  1 Hg 2.97, 1 Br 3.11, 2 I 3.22-3.31
Hg 0.1654 0.4312 0.0888  1 Hg 2.97, 1 Br 3.11, 2 I 3.22-3.31
Hg 0.0688 0.1576 0.2342  1 Hg 2.97, 1 Br 3.11, 2 I 3.22-3.31
Hg 0.3424 0.7658 0.4312  1 Hg 2.97, 1 Br 3.11, 2 I 3.22-3.31
Hg 0.4312 0.2658 0.3424  1 Hg 2.97, 1 Br 3.11, 2 I 3.22-3.31
Hg 0.3424 0.5766 0.4112  1 Hg 2.97, 1 Br 3.11, 2 I 3.22-3.31
Hg 0.6576 0.2342 0.5688  1 Hg 2.97, 1 Br 3.11, 2 I 3.22-3.31
Hg 0.1654 0.7342 0.5766  1 Hg 2.97, 1 Br 3.11, 2 I 3.22-3.31
Hg 0.2658 0.8346 0.9234  1 Hg 2.97, 1 Br 3.11, 2 I 3.22-3.31
Hg 0.4234 0.6576 0.0888  1 Hg 2.97, 1 Br 3.11, 2 I 3.22-3.31
Hg 0.1576 0.0688 0.7342  1 Hg 2.97, 1 Br 3.11, 2 I 3.22-3.31
Hg 0.5766 0.2342 0.1654  1 Hg 2.97, 1 Br 3.11, 2 I 3.22-3.31
Hg 0.7342 0.5688 0.1576  1 Hg 2.97, 1 Br 3.11, 2 I 3.22-3.31
Hg 0.2342 0.6576 0.0688  1 Hg 2.97, 1 Br 3.11, 2 I 3.22-3.31
Hg 0.3346 0.4112 0.0688  1 Hg 2.97, 1 Br 3.11, 2 I 3.22-3.31
Hg 0.5888 0.9234 0.6576  1 Hg 2.97, 1 Br 3.11, 2 I 3.22-3.31
Hg 0.5688 0.7342 0.6576  1 Hg 2.97, 1 Br 3.11, 2 I 3.22-3.31
Hg 0.4234 0.7658 0.8346  1 Hg 2.97, 1 Br 3.11, 2 I 3.22-3.31
Hg 0.0766 0.6654 0.7342  1 Hg 2.97, 1 Br 3.11, 2 I 3.22-3.31
Hg 0.9112 0.0688 0.8346  1 Hg 2.97, 1 Br 3.11, 2 I 3.22-3.31
Hg 0.6654 0.0766 0.2342  1 Hg 2.97, 1 Br 3.11, 2 I 3.22-3.31
Hg 0.5766 0.3424 0.9112  1 Hg 2.97, 1 Br 3.11, 2 I 3.22-3.31
Hg 0.0888 0.9312 0.1654  1 Hg 2.97, 1 Br 3.11, 2 I 3.22-3.31
Hg 0.7658 0.3424 0.9312  1 Hg 2.97, 1 Br 3.11, 2 I 3.22-3.31
Hg 0.7342 0.1654 0.0766  1 Hg 2.97, 1 Br 3.11, 2 I 3.22-3.31
Hg 0.3346 0.9234 0.7658  1 Hg 2.97, 1 Br 3.11, 2 I 3.22-3.31
Hg 0.6576 0.4234 0.5888  1 Hg 2.97, 1 Br 3.11, 2 I 3.22-3.31
Hg 0.9312 0.0888 0.6654  1 Hg 2.97, 1 Br 3.11, 2 I 3.22-3.31
Hg 0.0766 0.4112 0.8424  1 Hg 2.97, 1 Br 3.11, 2 I 3.22-3.31
Hg 0.5888 0.6654 0.4312  1 Hg 2.97, 1 Br 3.11, 2 I 3.22-3.31
Hg 0.2658 0.4312 0.8424  1 Hg 2.97, 1 Br 3.11, 2 I 3.22-3.31
Hg 0.4312 0.1654 0.5888  1 Hg 2.97, 1 Br 3.11, 2 I 3.22-3.31
Hg 0.7658 0.4234 0.3346  1 Hg 2.97, 1 Br 3.11, 2 I 3.22-3.31
Hg 0.8424 0.9312 0.2658  1 Hg 2.97, 1 Br 3.11, 2 I 3.22-3.31
Hg 0.0688 0.9112 0.3346  1 Hg 2.97, 1 Br 3.11, 2 I 3.22-3.31
Hg 0.9112 0.8424 0.5766  1 Hg 2.97, 1 Br 3.11, 2 I 3.22-3.31
Hg 0.5688 0.8346 0.4112  1 Hg 2.97, 1 Br 3.11, 2 I 3.22-3.31
Hg 0.9234 0.3346 0.2658  1 Hg 2.97, 1 Br 3.11, 2 I 3.22-3.31
Hg 0.9234 0.5888 0.1576  1 Hg 2.97, 1 Br 3.11, 2 I 3.22-3.31
Hg 0.9312 0.8424 0.7658  1 Hg 2.97, 1 Br 3.11, 2 I 3.22-3.31
Hg 0.4112 0.3346 0.5688  1 Hg 2.97, 1 Br 3.11, 2 I 3.22-3.31
Hg 0.6654 0.5888 0.9312  1 Hg 2.97, 1 Br 3.11, 2 I 3.22-3.31
Hg 0.8424 0.9112 0.0766  1 Hg 2.97, 1 Br 3.11, 2 I 3.22-3.31
Hg 0.8346 0.5688 0.9112  1 Hg 2.97, 1 Br 3.11, 2 I 3.22-3.31
Hg 0.0888 0.1576 0.4234  1 Hg 2.97, 1 Br 3.11, 2 I 3.22-3.31
Hg 0.1576 0.0888 0.9234  1 Hg 2.97, 1 Br 3.11, 2 I 3.22-3.31
Hg 0.2342 0.5766 0.6654  1 Hg 2.97, 1 Br 3.11, 2 I 3.22-3.31
I 0.6250 0.7500 0.8750  4 Hg 3.22
I 0.3750 0.1250 0.7500  4 Hg 3.22
I 0.8750 0.2500 0.6250  4 Hg 3.22
I 0.1250 0.3750 0.2500  4 Hg 3.22
I 0.0000 0.5000 0.5000  6 Hg 3.31
I 0.0000 0.5000 0.0000  6 Hg 3.31
I 0.5000 0.5000 0.0000  6 Hg 3.31
I 0.3750 0.2500 0.1250  4 Hg 3.22
I 0.0000 0.0000 0.0000  6 Hg 3.31
I 0.6250 0.8750 0.2500  4 Hg 3.22
I 0.0000 0.0000 0.5000  6 Hg 3.31
I 0.1250 0.7500 0.3750  4 Hg 3.22
I 0.7500 0.1250 0.8750  4 Hg 3.22
I 0.2500 0.8750 0.1250  4 Hg 3.22
I 0.2500 0.3750 0.6250  4 Hg 3.22
I 0.8750 0.6250 0.7500  4 Hg 3.22
I 0.5000 0.5000 0.5000  6 Hg 3.31
I 0.5000 0.0000 0.0000  6 Hg 3.31
I 0.7500 0.6250 0.3750  4 Hg 3.22
I 0.5000 0.0000 0.5000  6 Hg 3.31
Br 0.2500 0.6250 0.8750  8 Hg 3.11-3.38
Br 0.1250 0.2500 0.8750  8 Hg 3.11-3.38
Br 0.3750 0.7500 0.6250  8 Hg 3.11-3.38
Br 0.6250 0.3750 0.7500  8 Hg 3.11-3.38
Br 0.7500 0.3750 0.1250  8 Hg 3.11-3.38
Br 0.7500 0.8750 0.6250  8 Hg 3.11-3.38
Br 0.6250 0.2500 0.3750  8 Hg 3.11-3.38
Br 0.1250 0.8750 0.7500  8 Hg 3.11-3.38
Br 0.2500 0.1250 0.3750  8 Hg 3.11-3.38
Br 0.8750 0.7500 0.1250  8 Hg 3.11-3.38
Br 0.8750 0.1250 0.2500  8 Hg 3.11-3.38
Br 0.3750 0.6250 0.2500  8 Hg 3.11-3.38

Entry 2:
VASP calculation (GGA-PBE) on an optimized crystal structure of HgIBr.

Values from the calculation:
spin magnetization: 0.00 μB/atom
SG: No. 156
formation energy from raw total energies: -0.9 eV per formula unit

Cell: 4.2691 4.2691 7.0222 Å, 90.00 90.00 120.00°
Last column: nearest neighbours and their distance in Å.
Fractional coordinates of all 3 atoms:
Hg 0.6667 0.3333 0.3420  3 Br 2.92, 3 I 3.02
Br 0.3333 0.6667 0.5656  3 Hg 2.92
I 0.0000 0.0000 0.0924  3 Hg 3.02

Entry 3:
VASP calculation (GGA-PBE) on an optimized crystal structure of Hg2I3Br.

Values from the calculation:
spin magnetization: 0.00 μB/atom
SG: No. 12
formation energy from raw total energies: -1.8 eV per formula unit
energy above the most stable polymorph in this dataset: 16 meV/atom

Cell: 4.5139 8.5280 15.4676 Å, 97.85 98.39 90.00°
Last column: nearest neighbours and their distance in Å.
Fractional coordinates of all 12 atoms:
Hg 0.9636 0.7985 0.9272  4 I 2.87-2.88
Hg 0.0364 0.2015 0.0728  4 I 2.87-2.88
Hg 0.2987 0.6544 0.5974  1 Br 2.46, 1 I 2.65
Hg 0.7013 0.3456 0.4026  1 Br 2.46, 1 I 2.65
Br 0.6749 0.0595 0.3498  1 Hg 2.46
Br 0.3251 0.9405 0.6502  1 Hg 2.46
I 0.4306 0.6100 0.8612  2 Hg 2.87
I 0.9423 0.1171 0.8845  2 Hg 2.87-2.88
I 0.0577 0.8829 0.1155  2 Hg 2.87-2.88
I 0.7116 0.6598 0.4232  1 Hg 2.65
I 0.5694 0.3900 0.1388  2 Hg 2.87
I 0.2884 0.3402 0.5768  1 Hg 2.65

Entry 4:
VASP calculation (GGA-PBE) on an optimized crystal structure of Hg2IBr3.

Values from the calculation:
spin magnetization: 0.00 μB/atom
SG: No. 12
formation energy from raw total energies: -2.2 eV per formula unit
energy above the most stable polymorph in this dataset: 41 meV/atom

Cell: 4.3036 8.6606 13.6424 Å, 90.26 99.08 90.00°
Last column: nearest neighbours and their distance in Å.
Fractional coordinates of all 12 atoms:
Br 0.6025 0.5245 0.2049  1 Hg 2.49
Br 0.0037 0.7741 0.0075  2 Hg 2.68-2.72
Br 0.7607 0.6997 0.5214  2 Hg 2.74
Br 0.9963 0.2259 0.9925  2 Hg 2.68-2.72
Br 0.2393 0.3003 0.4786  2 Hg 2.74
Br 0.3975 0.4755 0.7951  1 Hg 2.49
Hg 0.0687 0.0151 0.1374  2 Br 2.68-2.72, 2 I 2.85
Hg 0.6827 0.3836 0.3653  3 Br 2.49-2.74
Hg 0.3173 0.6164 0.6347  3 Br 2.49-2.74
Hg 0.9313 0.9849 0.8626  2 Br 2.68-2.72, 2 I 2.85
I 0.6382 0.0127 0.2763  2 Hg 2.85
I 0.3618 0.9873 0.7237  2 Hg 2.85

Entry 5:
VASP calculation (GGA-PBE) on an optimized crystal structure of Hg3IBr.

Values from the calculation:
spin magnetization: 0.00 μB/atom
SG: No. 221
formation energy from raw total energies: 0.7 eV per formula unit
energy above the most stable polymorph in this dataset: 201 meV/atom

Cell: 5.8209 5.8209 5.8209 Å, 90.00 90.00 90.00°
Last column: nearest neighbours and their distance in Å.
Fractional coordinates of all 5 atoms:
Hg 0.5000 0.0000 0.0000  2 Br 2.91
Hg 0.0000 0.5000 0.0000  2 Br 2.91
Hg 0.0000 0.0000 0.5000  2 Br 2.91
Br 0.0000 0.0000 0.0000  6 Hg 2.91
I 0.5000 0.5000 0.5000  12 Hg 4.12

Entry 6:
VASP calculation (GGA-PBE) on an optimized crystal structure of Hg2I3Br.

Values from the calculation:
spin magnetization: 0.00 μB/atom
SG: No. 8
formation energy from raw total energies: -1.9 eV per formula unit
energy above the most stable polymorph in this dataset: 5 meV/atom

Cell: 4.5110 4.5110 13.9345 Å, 90.22 90.22 70.56°
Last column: nearest neighbours and their distance in Å.
Fractional coordinates of all 6 atoms:
Hg 0.6576 0.6576 0.6618  2 I 2.67
Hg 0.3377 0.3377 0.1711  1 Br 2.49, 1 I 2.65
I 0.9209 0.9209 0.7941  1 Hg 2.67
I 0.6054 0.6054 0.0449  1 Hg 2.65
I 0.3904 0.3904 0.5321  1 Hg 2.67
Br 0.0880 0.0880 0.2913  1 Hg 2.49

Entry 7:
VASP calculation (GGA-PBE) on an optimized crystal structure of HgI2Br.

Values from the calculation:
spin magnetization: 0.00 μB/atom
SG: No. 225
formation energy from raw total energies: 1.2 eV per formula unit
energy above the most stable polymorph in this dataset: 255 meV/atom

Cell: 5.5939 5.5939 5.5939 Å, 60.00 60.00 60.00°
Last column: nearest neighbours and their distance in Å.
Fractional coordinates of all 4 atoms:
Hg 0.5000 0.5000 0.5000  8 I 3.43
I 0.2500 0.2500 0.2500  4 Hg 3.43, 4 Br 3.43
I 0.7500 0.7500 0.7500  4 Hg 3.43, 4 Br 3.43
Br 0.0000 0.0000 0.0000  8 I 3.43

Entry 8:
VASP calculation (GGA-PBE) on an optimized crystal structure of Hg2I2Br.

Values from the calculation:
spin magnetization: 0.00 μB/atom
SG: No. 139
formation energy from raw total energies: -0.4 eV per formula unit
energy above the most stable polymorph in this dataset: 78 meV/atom

Cell: 6.1958 6.1958 6.1506 Å, 59.76 59.76 90.00°
Last column: nearest neighbours and their distance in Å.
Fractional coordinates of all 5 atoms:
Br 0.0000 0.0000 0.0000  2 Hg 2.88
I 0.2500 0.7500 0.5000  4 Hg 3.18
I 0.7500 0.2500 0.5000  4 Hg 3.18
Hg 0.3334 0.3334 0.3332  1 Hg 2.88, 1 Br 2.88, 4 I 3.18
Hg 0.6666 0.6666 0.6669  1 Hg 2.88, 1 Br 2.88, 4 I 3.18

Entry 9:
VASP calculation (GGA-PBE) on an optimized crystal structure of Hg3IBr.

Values from the calculation:
spin magnetization: 0.00 μB/atom
SG: No. 161
formation energy from raw total energies: -0.3 eV per formula unit
energy above the most stable polymorph in this dataset: 0 meV/atom

Cell: 7.5365 7.5365 8.8791 Å, 64.89 64.89 60.00°
Last column: nearest neighbours and their distance in Å.
Fractional coordinates of all 10 atoms:
I 0.9359 0.9359 0.1923  3 Hg 3.05
I 0.4359 0.4359 0.6923  3 Hg 3.05
Hg 0.0831 0.3281 0.7157  1 Br 2.95, 2 Hg 2.97, 1 I 3.05
Hg 0.5831 0.3732 0.2157  1 Br 2.95, 2 Hg 2.97, 1 I 3.05
Hg 0.3732 0.8281 0.2157  1 Br 2.95, 2 Hg 2.97, 1 I 3.05
Hg 0.8732 0.0831 0.7157  1 Br 2.95, 2 Hg 2.97, 1 I 3.05
Hg 0.3281 0.8732 0.7157  1 Br 2.95, 2 Hg 2.97, 1 I 3.05
Hg 0.8281 0.5831 0.2157  1 Br 2.95, 2 Hg 2.97, 1 I 3.05
Br 0.2513 0.2513 0.2462  3 Hg 2.95
Br 0.7513 0.7513 0.7462  3 Hg 2.95

Entry 10:
VASP calculation (GGA-PBE) on an optimized crystal structure of Hg2IBr8.

Values from the calculation:
spin magnetization: 0.00 μB/atom
SG: No. 12
formation energy from raw total energies: -2.0 eV per formula unit

Cell: 7.4383 7.1571 10.9847 Å, 105.89 90.00 121.30°
Last column: nearest neighbours and their distance in Å.
Fractional coordinates of all 11 atoms:
I 0.0000 0.0000 0.0000  4 Br 2.66
Hg 0.1380 0.2760 0.4172  2 Br 2.46-2.47
Hg 0.8620 0.7240 0.5828  2 Br 2.46-2.47
Br 0.9267 0.8532 0.3097  1 Hg 2.47
Br 0.8971 0.2938 0.1309  1 I 2.66
Br 0.3482 0.6965 0.5207  1 Hg 2.46
Br 0.3967 0.2938 0.1309  1 I 2.66
Br 0.6518 0.3035 0.4793  1 Hg 2.46
Br 0.6033 0.7062 0.8691  1 I 2.66
Br 0.0733 0.1468 0.6903  1 Hg 2.47
Br 0.1029 0.7062 0.8691  1 I 2.66

Entry 11:
VASP calculation (GGA-PBE) on an optimized crystal structure of HgI3Br.

Values from the calculation:
spin magnetization: 0.00 μB/atom
SG: No. 221
formation energy from raw total energies: 1.5 eV per formula unit
energy above the most stable polymorph in this dataset: 42 meV/atom

Cell: 5.9571 5.9571 5.9571 Å, 90.00 90.00 90.00°
Last column: nearest neighbours and their distance in Å.
Fractional coordinates of all 5 atoms:
Br 0.0000 0.0000 0.0000  6 I 2.98
Hg 0.5000 0.5000 0.5000  12 I 4.21
I 0.0000 0.5000 0.0000  2 Br 2.98
I 0.0000 0.0000 0.5000  2 Br 2.98
I 0.5000 0.0000 0.0000  2 Br 2.98

Entry 12:
VASP calculation (GGA-PBE) on an optimized crystal structure of HgIBr.

Values from the calculation:
spin magnetization: 0.00 μB/atom
SG: No. 24
formation energy from raw total energies: -1.1 eV per formula unit

Cell: 11.8534 6.4657 6.7361 Å, 90.00 90.00 90.00°
Last column: nearest neighbours and their distance in Å.
Fractional coordinates of all 12 atoms:
Br 0.0000 0.2500 0.9831  2 Hg 2.72
Br 0.5000 0.2500 0.0169  2 Hg 2.72
Br 0.0000 0.7500 0.5169  2 Hg 2.72
Br 0.5000 0.7500 0.4831  2 Hg 2.72
Hg 0.3711 0.5000 0.2500  2 Br 2.72, 2 I 2.83
Hg 0.6289 0.0000 0.2500  2 Br 2.72, 2 I 2.83
Hg 0.8711 0.0000 0.7500  2 Br 2.72, 2 I 2.83
Hg 0.1289 0.5000 0.7500  2 Br 2.72, 2 I 2.83
I 0.2500 0.7721 0.0000  2 Hg 2.83
I 0.7500 0.2721 0.5000  2 Hg 2.83
I 0.7500 0.7279 0.0000  2 Hg 2.83
I 0.2500 0.2279 0.5000  2 Hg 2.83

formation energy from raw total energies of number 12 (HgIBr)? -1.1 eV per formula unit

formation energy from raw total energies of number 10 (Hg2IBr8)? -2.0 eV per formula unit

spin magnetization of number 10 (Hg2IBr8)? 0.00 μB/atom